Entry 1:
## Pu3Ga2Ir (PBE)

Data for a geometry-optimized Pu3Ga2Ir structure.

Properties
Energy of formation, eV/atom: -0.234
Fermi-level density of states, states/eV/cell: 40.4
Density, Mg/m³: 13.6

abc: 8.804 8.804 8.804
angles: 141.72 55.16 141.84
Fractional coordinates of all 12 atoms:
Pu: 0.179 0.185 0.364
Pu: 0.250 0.250 0.000
Pu: 0.321 0.685 0.006
Pu: 0.679 0.315 0.994
Pu: 0.750 0.750 0.000
Pu: 0.821 0.815 0.636
Ga: 0.122 0.675 0.798
Ga: 0.378 0.175 0.553
Ga: 0.622 0.825 0.447
Ga: 0.878 0.325 0.202
Ir: 0.250 0.750 0.500
Ir: 0.750 0.250 0.500


Entry 2:
## Pu3GaIr4 (PBE)

Data for a geometry-optimized Pu3GaIr4 structure.

Properties
Energy of formation, eV/atom: -0.300
Fermi-level density of states, states/eV/cell: 33.4
Density, Mg/m³: 15.0

abc: 8.405 8.405 8.405
angles: 152.31 140.65 48.80
Fractional coordinates of all 8 atoms:
Pu: 0.000 0.000 0.000
Pu: 0.304 0.804 0.500
Pu: 0.696 0.196 0.500
Ga: 0.500 0.500 0.000
Ir: 0.101 0.374 0.727
Ir: 0.353 0.626 0.727
Ir: 0.647 0.374 0.273
Ir: 0.899 0.626 0.273


Entry 3:
## Pu2Ga5IrRh2 (PBE)

Data for a geometry-optimized Pu2Ga5IrRh2 structure.

Properties
Energy of formation, eV/atom: -0.465
Fermi-level density of states, states/eV/cell: 32.0
Density, Mg/m³: 11.7

abc: 10.929 10.929 2.939
angles: 90.00 90.00 90.00
Fractional coordinates of all 20 atoms:
Pu: 0.179 0.321 0.000
Pu: 0.321 0.821 0.000
Pu: 0.679 0.179 0.000
Pu: 0.821 0.679 0.000
Ga: 0.000 0.500 0.500
Ga: 0.054 0.809 0.500
Ga: 0.191 0.054 0.500
Ga: 0.309 0.554 0.500
Ga: 0.446 0.309 0.500
Ga: 0.500 0.000 0.500
Ga: 0.554 0.691 0.500
Ga: 0.691 0.446 0.500
Ga: 0.809 0.946 0.500
Ga: 0.946 0.191 0.500
Ir: 0.000 0.000 0.000
Ir: 0.500 0.500 0.000
Rh: 0.133 0.633 0.000
Rh: 0.367 0.133 0.000
Rh: 0.633 0.867 0.000
Rh: 0.867 0.367 0.000


Entry 4:
## PuGa4Ir2Rh (PBE)

Data for a geometry-optimized PuGa4Ir2Rh structure.

Properties
Energy of formation, eV/atom: -0.496
Fermi-level density of states, states/eV/cell: 13.0
Density, Mg/m³: 12.4

abc: 8.915 8.915 8.915
angles: 27.69 27.69 27.69
Fractional coordinates of all 8 atoms:
Pu: 0.000 0.000 0.000
Ga: 0.131 0.131 0.131
Ga: 0.399 0.399 0.399
Ga: 0.601 0.601 0.601
Ga: 0.869 0.869 0.869
Ir: 0.236 0.236 0.236
Ir: 0.764 0.764 0.764
Rh: 0.500 0.500 0.500


energy of formation of number 1 (Pu3Ga2Ir)?
-0.234 eV/atom


Fermi-level density of states of number 4 (PuGa4Ir2Rh)?
13.0 states/eV/cell


What is the Fermi-level density of states in the third record?
32.0 states/eV/cell


Among the records above, which one has the lowest energy of formation?
PuGa4Ir2Rh